[1]
# GGA-PBE SrTl3Sn, optimized geometry
data_SrTl3Sn
_cell_length_a 5.851
_cell_length_b 5.851
_cell_length_c 5.851
_cell_angle_alpha 90.00
_cell_angle_beta 90.00
_cell_angle_gamma 90.00
_symmetry_space_group_name_H-M 'P m -3 m'
_symmetry_Int_Tables_number 221
_symmetry_space_group_name_Hall '-P 4 2 3'
loop_
_atom_site_label
_atom_site_type_symbol
_atom_site_fract_x
_atom_site_fract_y
_atom_site_fract_z
Sr1 Sr 0.000 0.000 0.000
Tl1 Tl 0.000 0.500 0.500
Sn1 Sn 0.500 0.500 0.500
# **Spin magnetization**: 0.0 μB per cell
# **Energy relative to the lowest polymorph listed for this composition**: 297 meV per atom

=====

[2]
# GGA-PBE Sr2Tl6Sn, optimized geometry
data_Sr2Tl6Sn
_cell_length_a 13.031
_cell_length_b 7.540
_cell_length_c 7.540
_cell_angle_alpha 90.00
_cell_angle_beta 125.10
_cell_angle_gamma 90.00
_symmetry_space_group_name_H-M 'C 1 2/m 1'
_symmetry_Int_Tables_number 12
loop_
_symmetry_equiv_pos_as_xyz
'x,y,z'
'-x,-y,-z'
'-x,y,-z'
'x,-y,z'
'x+1/2,y+1/2,z'
'-x+1/2,-y+1/2,-z'
'-x+1/2,y+1/2,-z'
'x+1/2,-y+1/2,z'
loop_
_atom_site_label
_atom_site_type_symbol
_atom_site_fract_x
_atom_site_fract_y
_atom_site_fract_z
Sr1 Sr 0.250 0.000 0.249
Tl1 Tl 0.000 0.215 0.285
Tl2 Tl 0.215 0.000 0.714
Sn1 Sn 0.000 0.500 0.000
# **Calculated total energy**: -2.57 eV/atom
# **Spin magnetization**: 0.0 μB per cell

=====

[3]
# GGA-PBE Sr12Tl2Sn5, optimized geometry
data_Sr12Tl2Sn5
_cell_length_a 18.386
_cell_length_b 8.135
_cell_length_c 11.016
_cell_angle_alpha 90.00
_cell_angle_beta 98.92
_cell_angle_gamma 90.00
_symmetry_space_group_name_H-M 'C 1 2/m 1'
_symmetry_Int_Tables_number 12
loop_
_symmetry_equiv_pos_as_xyz
'x,y,z'
'-x,-y,-z'
'-x,y,-z'
'x,-y,z'
'x+1/2,y+1/2,z'
'-x+1/2,-y+1/2,-z'
'-x+1/2,y+1/2,-z'
'x+1/2,-y+1/2,z'
loop_
_atom_site_label
_atom_site_type_symbol
_atom_site_fract_x
_atom_site_fract_y
_atom_site_fract_z
Sr1 Sr 0.019 0.000 0.288
Sr2 Sr 0.037 0.500 0.812
Sr3 Sr 0.154 0.252 0.572
Sr4 Sr 0.182 0.244 0.123
Tl1 Tl 0.000 0.187 0.000
Sn1 Sn 0.000 0.500 0.500
Sn2 Sn 0.161 0.000 0.849
Sn3 Sn 0.202 0.000 0.362
# **Calculated total energy**: -2.79 eV/atom
# **Spin magnetization**: 0.5 μB per cell

=====

[4]
# GGA-PBE SrTlSn4, optimized geometry
data_SrTlSn4
_cell_length_a 8.975
_cell_length_b 8.975
_cell_length_c 8.975
_cell_angle_alpha 90.00
_cell_angle_beta 90.00
_cell_angle_gamma 90.00
_symmetry_space_group_name_H-M 'F -4 3 m'
_symmetry_Int_Tables_number 216
_symmetry_space_group_name_Hall 'F -4 2 3'
loop_
_atom_site_label
_atom_site_type_symbol
_atom_site_fract_x
_atom_site_fract_y
_atom_site_fract_z
Sr1 Sr 0.000 0.000 0.000
Tl1 Tl 0.250 0.250 0.250
Sn1 Sn 0.125 0.125 0.625
# **Calculated total energy**: -3.59 eV/atom
# **Spin magnetization**: 0.0 μB per cell

=====

> Look up the spin magnetization of the fourth one.

0.0 μB per cell